{
  "formula": "Sm6Ge2As3Br",
  "functional": "PBE",
  "state": "relaxed",
  "lattice_angstrom": [[4.192, 0.000, 0.000], [0.000, 8.552, 0.320], [-2.096, -2.450, 8.896]],
  "species": ["As", "As", "As", "Sm", "Sm", "Sm", "Sm", "Sm", "Sm", "Ge", "Ge", "Br"],
  "frac_coords": [[0.500, 0.500, 0.000], [0.837, 0.165, 0.675], [0.163, 0.835, 0.325], [0.667, 0.585, 0.334], [0.333, 0.415, 0.666], [0.672, 0.087, 0.345], [0.002, 0.270, 0.004], [0.328, 0.913, 0.655], [0.998, 0.730, 0.996], [0.835, 0.670, 0.669], [0.165, 0.330, 0.331], [0.500, 0.000, 0.000]],
  "crystal_system": "monoclinic",
  "dft_energy_ev_per_atom": -5.71,
  "magmom_total_mub_per_cell": 0.0,
  "formation_energy_uncorrected_ev_per_atom": -1.2783
}

---

{
  "formula": "BaLiNb2",
  "functional": "PBE",
  "state": "relaxed",
  "lattice_angstrom": [[-2.217, -2.983, 3.277], [-4.945, -0.109, 0.301], [-2.490, -3.987, -1.567]],
  "species": ["Ba", "Nb", "Nb", "Li"],
  "frac_coords": [[0.500, 0.500, 0.500], [0.250, 0.250, 0.250], [0.750, 0.750, 0.750], [0.000, 0.000, 0.000]],
  "formation_energy_ev_per_fu": 5.35,
  "polymorph_energy_mev_per_atom": 199,
  "crystal_system": "cubic",
  "dft_energy_ev_per_atom": -4.66,
  "magmom_total_mub_per_cell": 0.0
}

---

{
  "formula": "SrCd",
  "functional": "PBE",
  "state": "relaxed",
  "lattice_angstrom": [[-3.519, -0.284, -2.033], [1.589, -2.932, -2.341], [-2.747, -5.949, 5.585]],
  "species": ["Sr", "Sr", "Cd", "Cd"],
  "frac_coords": [[0.750, 0.750, 0.311], [0.250, 0.250, 0.689], [0.250, 0.250, 0.090], [0.750, 0.750, 0.910]],
  "formation_energy_ev_per_fu": -0.42,
  "crystal_system": "tetragonal",
  "dft_energy_ev_per_atom": -1.51,
  "magmom_total_mub_per_cell": 0.0
}

---

Please write out number 3 again, unchanged.
{
  "formula": "SrCd",
  "functional": "PBE",
  "state": "relaxed",
  "lattice_angstrom": [[-3.519, -0.284, -2.033], [1.589, -2.932, -2.341], [-2.747, -5.949, 5.585]],
  "species": ["Sr", "Sr", "Cd", "Cd"],
  "frac_coords": [[0.750, 0.750, 0.311], [0.250, 0.250, 0.689], [0.250, 0.250, 0.090], [0.750, 0.750, 0.910]],
  "formation_energy_ev_per_fu": -0.42,
  "crystal_system": "tetragonal",
  "dft_energy_ev_per_atom": -1.51,
  "magmom_total_mub_per_cell": 0.0
}

---

Please write out number 2 again, unchanged.
{
  "formula": "BaLiNb2",
  "functional": "PBE",
  "state": "relaxed",
  "lattice_angstrom": [[-2.217, -2.983, 3.277], [-4.945, -0.109, 0.301], [-2.490, -3.987, -1.567]],
  "species": ["Ba", "Nb", "Nb", "Li"],
  "frac_coords": [[0.500, 0.500, 0.500], [0.250, 0.250, 0.250], [0.750, 0.750, 0.750], [0.000, 0.000, 0.000]],
  "formation_energy_ev_per_fu": 5.35,
  "polymorph_energy_mev_per_atom": 199,
  "crystal_system": "cubic",
  "dft_energy_ev_per_atom": -4.66,
  "magmom_total_mub_per_cell": 0.0
}